[1]
A plane-wave DFT calculation with GGA-PBE was carried out for LiY3P after structural relaxation.

Structure (POSCAR):
```
LiY3P
1.0
-3.6026 -2.3479 -3.2006
-2.6196 -1.8410 4.2992
-2.9822 4.4534 0.0900
Y Li P
3 1 1
direct
0.0000 0.0000 0.5000
0.5000 0.0000 0.0000
0.0000 0.5000 0.0000
0.5000 0.5000 0.5000
0.0000 0.0000 0.0000
```

* DOS at the Fermi energy: 1.81 states/eV/atom
* ΔE to the lowest computed polymorph: 0.00 eV per formula unit
* formation energy: -381 meV/atom

[2]
A plane-wave DFT calculation with GGA-PBE was carried out for Li2YP after structural relaxation.

Structure (POSCAR):
```
Li2YP
1.0
3.9351 0.0000 0.0000
0.0000 7.0862 0.0000
0.0000 0.0000 10.7489
Y Li P
4 8 4
direct
0.2500 0.7510 0.8046
0.7500 0.7490 0.3046
0.7500 0.2490 0.1954
0.2500 0.2510 0.6954
0.7500 0.9145 0.5953
0.2500 0.6316 0.5334
0.7500 0.4145 0.9047
0.2500 0.1316 0.9666
0.2500 0.5855 0.0953
0.2500 0.0855 0.4047
0.7500 0.3684 0.4666
0.7500 0.8684 0.0334
0.7500 0.5469 0.6706
0.2500 0.4531 0.3294
0.2500 0.9531 0.1706
0.7500 0.0469 0.8294
```

* DOS at the Fermi energy: 0.14 states/eV/atom
* formation energy: -750 meV/atom